(1)
Here is Er2ZrCu6 after structural relaxation from Alexandria via LeMat-Bulk. Energies are from PBE.

abc: 7.3730 7.3730 3.2559
angles: 90.00 90.00 120.00
Space group P6/mmm (No. 191)
Asymmetric unit:
1 Er 0.3333 0.6667 0.0000 [2 per cell]
2 Zr 0.0000 0.0000 0.0000 [1 per cell]
3 Cu 0.0000 0.3307 0.5000 [6 per cell]

VASP energy = -0.35971 Ry per atom
DFT formation energy = -200 meV per atom
total moment = 0.0 μB/f.u.

(2)
Here is Lu5Ag12Bi3 after structural relaxation from Alexandria via LeMat-Bulk. Energies are from PBE.

abc: 16.723 16.723 16.723
angles: 90.00 90.00 90.00
Space group Ia-3d (No. 230)
Asymmetric unit:
1 Lu 0.000 0.000 0.000 [16 per cell]
2 Lu 0.000 0.250 0.375 [24 per cell]
3 Ag 0.008 0.079 0.652 [96 per cell]
4 Bi 0.000 0.250 0.125 [24 per cell]

VASP energy = -0.22447 Ry per atom
DFT formation energy = 369 meV per atom
total moment = 0.0 μB/f.u.

(3)
Here is LaTa2Tl after structural relaxation from Alexandria via LeMat-Bulk. Energies are from PBE.

abc: 3.1215 3.1215 32.5229
angles: 90.00 90.00 120.00
Space group R-3m (No. 166, hexagonal axes)
Asymmetric unit:
1 La 0.0000 0.0000 0.0000 [3 per cell]
2 Ta 0.0000 0.0000 0.2437 [6 per cell]
3 Tl 0.0000 0.0000 0.5000 [3 per cell]

VASP energy = -0.51810 Ry per atom
DFT formation energy = 701 meV per atom
total moment = 0.0 μB/f.u.

(4)
Here is ZnIn2Cu2Pt5 after structural relaxation from Alexandria via LeMat-Bulk. Energies are from PBE.

abc: 9.166 9.166 3.895
angles: 90.00 90.00 90.00
Space group P4/mbm (No. 127)
Asymmetric unit:
1 Zn 0.000 0.000 0.000 [2 per cell]
2 In 0.169 0.331 0.000 [4 per cell]
3 Cu 0.126 0.626 0.000 [4 per cell]
4 Pt 0.000 0.500 0.500 [2 per cell]
5 Pt 0.092 0.810 0.500 [8 per cell]

VASP energy = -0.35372 Ry per atom
DFT formation energy = -298 meV per atom
total moment = 0.0 μB/f.u.

(5)
Here is SiNi9Ge2 after structural relaxation from Alexandria via LeMat-Bulk. Energies are from PBE.

abc: 3.554 3.554 10.656
angles: 90.00 90.00 90.00
Space group P4/mmm (No. 123)
Asymmetric unit:
1 Si 0.000 0.000 0.000 [1 per cell]
2 Ni 0.000 0.500 0.161 [4 per cell]
3 Ni 0.000 0.500 0.500 [2 per cell]
4 Ni 0.500 0.500 0.000 [1 per cell]
5 Ni 0.500 0.500 0.331 [2 per cell]
6 Ge 0.000 0.000 0.331 [2 per cell]

VASP energy = -0.43380 Ry per atom
total moment = 0.0 μB/f.u.

(6)
Here is La2Dy4Er3 after structural relaxation from Alexandria via LeMat-Bulk. Energies are from PBE.

abc: 6.114 12.379 15.951
angles: 90.00 90.00 90.00
Space group Fmmm (No. 69)
Asymmetric unit:
1 La 0.000 0.000 0.115 [8 per cell]
2 Dy 0.000 0.144 0.313 [16 per cell]
3 Er 0.000 0.000 0.500 [4 per cell]
4 Er 0.250 0.250 0.000 [8 per cell]

VASP energy = -0.32952 Ry per atom
DFT formation energy = 178 meV per atom
total moment = 0.0 μB/f.u.

(7)
Here is RbHfPt2 after structural relaxation from Alexandria via LeMat-Bulk. Energies are from PBE.

abc: 7.767 7.767 7.630
angles: 90.00 90.00 90.00
Space group I-42d (No. 122)
Asymmetric unit:
1 Rb 0.000 0.000 0.000 [4 per cell]
2 Hf 0.000 0.000 0.500 [4 per cell]
3 Pt 0.175 0.250 0.625 [8 per cell]

VASP energy = -0.42477 Ry per atom
DFT formation energy = -29 meV per atom
total moment = 0.0 μB/f.u.

(8)
Here is LiNd3Tm2Te6 after structural relaxation from Alexandria via LeMat-Bulk. Energies are from PBE.

abc: 19.243 4.371 8.836
angles: 90.00 104.31 90.00
Space group C2/m (No. 12)
Asymmetric unit:
1 Li 0.000 0.000 0.000 [2 per cell]
2 Nd 0.000 0.000 0.500 [2 per cell]
3 Nd 0.165 0.500 0.828 [4 per cell]
4 Tm 0.165 0.500 0.335 [4 per cell]
5 Te 0.004 0.500 0.235 [4 per cell]
6 Te 0.162 0.000 0.091 [4 per cell]
7 Te 0.170 0.000 0.574 [4 per cell]

VASP energy = -0.36719 Ry per atom
total moment = 0.0 μB/f.u.

Repeat the fifth record exactly.
Here is SiNi9Ge2 after structural relaxation from Alexandria via LeMat-Bulk. Energies are from PBE.

abc: 3.554 3.554 10.656
angles: 90.00 90.00 90.00
Space group P4/mmm (No. 123)
Asymmetric unit:
1 Si 0.000 0.000 0.000 [1 per cell]
2 Ni 0.000 0.500 0.161 [4 per cell]
3 Ni 0.000 0.500 0.500 [2 per cell]
4 Ni 0.500 0.500 0.000 [1 per cell]
5 Ni 0.500 0.500 0.331 [2 per cell]
6 Ge 0.000 0.000 0.331 [2 per cell]

VASP energy = -0.43380 Ry per atom
total moment = 0.0 μB/f.u.